(1)
A crystal of CoNi3 relaxed with PBEsol. Source: Alexandria, functional SCAN.

a b c (Å): 2.4347 4.2510 4.2510
angles (deg): 109.72 90.00 90.00
Each line ends with the local moment (μB).
Sites, in units of the cell vectors:
Ni1 0.5000 0.0000 0.5000  0.82
Ni2 0.0000 0.5000 0.5000  0.84
Ni3 0.5000 0.5000 0.0000  0.82
Co1 0.0000 0.0000 0.0000  1.89

Final energy ... -65.79 eV per cell
V ... 41.4 Å³/f.u.
E_form ... 0.008 eV per atom
Crystal system ... orthorhombic

(2)
A crystal of CoNi2 relaxed with PBEsol. Source: Alexandria, functional SCAN.

a b c (Å): 2.4464 2.4464 6.0000
angles (deg): 90.00 90.00 120.00
Each line ends with the local moment (μB).
Sites, in units of the cell vectors:
Ni1 0.6667 0.3333 0.6689  0.80
Ni2 0.3333 0.6667 0.3311  0.80
Co1 0.0000 0.0000 0.0000  1.88

Final energy ... -49.62 eV per cell
V ... 31.1 Å³/f.u.
E_form ... 0.010 eV per atom
Crystal system ... trigonal

(3)
A crystal of Co2Ni relaxed with PBEsol. Source: Alexandria, functional SCAN.

a b c (Å): 2.4454 2.4454 5.9983
angles (deg): 90.00 90.00 120.00
Each line ends with the local moment (μB).
Sites, in units of the cell vectors:
Ni1 0.0000 0.0000 0.0000  0.79
Co1 0.6667 0.3333 0.3368  1.80
Co2 0.3333 0.6667 0.6632  1.80

Final energy ... -50.70 eV per cell
V ... 31.1 Å³/f.u.
E_form ... 0.026 eV per atom
Crystal system ... trigonal

(4)
A crystal of Co3Ni relaxed with PBEsol. Source: Alexandria, functional SCAN.

a b c (Å): 3.9578 4.2444 4.9248
angles (deg): 90.00 90.00 90.00
Each line ends with the local moment (μB).
Sites, in units of the cell vectors:
Co1 0.0000 0.1673 0.7511  1.82
Co2 0.5000 0.8327 0.2511  1.82
Co3 0.0000 0.6705 0.5000  1.79
Co4 0.5000 0.8327 0.7489  1.82
Co5 0.0000 0.1673 0.2489  1.82
Co6 0.5000 0.3295 0.0000  1.79
Ni1 0.5000 0.3327 0.5000  0.74
Ni2 0.0000 0.6673 0.0000  0.74

Final energy ... -136.20 eV per cell
V ... 41.4 Å³/f.u.
E_form ... -0.003 eV per atom
Crystal system ... orthorhombic

(5)
A crystal of Co5Ni relaxed with PBEsol. Source: Alexandria, functional SCAN.

a b c (Å): 2.4484 3.9602 6.5012
angles (deg): 90.00 100.85 90.00
Each line ends with the local moment (μB).
Sites, in units of the cell vectors:
Co1 0.6671 0.0000 0.3342  1.83
Co2 0.9997 0.0000 0.9994  1.78
Co3 0.3337 0.0000 0.6673  1.76
Co4 0.7778 0.5000 0.5556  1.78
Co5 0.4436 0.5000 0.8872  1.78
Ni1 0.1115 0.5000 0.2229  0.82

Final energy ... -102.51 eV per cell
Excess energy over the best structure of this formula in the dataset ... 0.11 eV per formula unit
V ... 61.9 Å³/f.u.
E_form ... 0.030 eV per atom
Crystal system ... orthorhombic

(6)
A crystal of Co2Ni relaxed with PBEsol. Source: Alexandria, functional SCAN.

a b c (Å): 2.4108 6.7032 6.7032
angles (deg): 120.00 90.00 90.00
Each line ends with the local moment (μB).
Sites, in units of the cell vectors:
Co1 0.5000 0.0000 0.6398  1.84
Co2 0.5000 0.6398 0.0000  1.84
Co3 0.0000 0.0000 0.3058  1.86
Co4 0.0000 0.6942 0.6942  1.86
Co5 0.5000 0.3602 0.3602  1.84
Co6 0.0000 0.3058 0.0000  1.86
Ni1 0.0000 0.6667 0.3333  0.83
Ni2 0.0000 0.3333 0.6667  0.83
Ni3 0.5000 0.0000 0.0000  0.82

Final energy ... -151.76 eV per cell
V ... 31.3 Å³/f.u.
E_form ... 0.066 eV per atom
Crystal system ... hexagonal